! YMg2Cu2 (SCAN, single point on PBEsol structure); values from VASP
&SYSTEM
  ibrav = 0, nat = 10, ntyp = 3
/
ATOMIC_SPECIES
Y 88.91 Y.upf
Mg 24.30 Mg.upf
Cu 63.55 Cu.upf
ATOMIC_POSITIONS angstrom
Y 1.937 9.043 2.952
Y 1.937 -9.043 0.984
Mg 1.937 6.224 0.984
Mg 1.937 1.349 2.952
Mg 1.937 -1.349 0.984
Mg 1.937 -6.224 2.952
Cu 1.937 11.812 2.952
Cu 1.937 4.294 2.952
Cu 1.937 -4.294 0.984
Cu 1.937 -11.812 0.984
CELL_PARAMETERS angstrom
1.937 -12.446 0.000
1.937 12.446 0.000
0.000 0.000 3.936
! Total moment = 0.00 μB/cell
! Space-group type = Cmcm
! Excess energy over the best structure of this formula in the dataset = 0.027 eV/atom
! Formation enthalpy at 0 K = -0.1778 eV/atom
! Final energy = -13.816 eV/atom